# Ca6TlZn2

Ca6TlZn2 after structural relaxation (PBE, Alexandria).

Values from the calculation:
Uncorrected energy   -2.106 eV per atom
Size of the total moment   0.0 μB/f.u.
Formation energy   -226 meV per atom

a = 9.992 Å, b = 10.462 Å, c = 10.887 Å
α = 90.00°, β = 90.00°, γ = 90.00°
Space group Immm (No. 71)
Symmetry-distinct sites (fractional):
1 Ca 0.000 0.195 0.246
2 Ca 0.203 0.500 0.170
3 Ca 0.223 0.317 0.500
4 Tl 0.000 0.000 0.000
5 Tl 0.000 0.000 0.500
6 Zn 0.000 0.349 0.000
7 Zn 0.000 0.500 0.381